! BaCoO3 | Alexandria via LeMat-Bulk | GGA+U | relaxed; values from VASP
&SYSTEM
  ibrav = 0, nat = 40, ntyp = 3
/
ATOMIC_SPECIES
Co 58.93 Co.upf
O 16.00 O.upf
Ba 137.33 Ba.upf
CELL_PARAMETERS angstrom
5.6972 0.0000 0.0000
-2.8486 4.9339 0.0000
0.0000 0.0000 18.8460
ATOMIC_POSITIONS angstrom
Co 0.0000 3.2892 15.3552
O -1.4243 2.4670 0.0000
O 1.4243 2.4670 0.0000
O 2.8486 0.0000 0.0000
O 1.2488 4.0103 11.6945
O 0.0000 1.8473 16.5745
Co 2.8486 1.6446 8.3756
O 4.0974 0.9236 7.1515
O 4.0974 0.9236 2.2715
O -1.2488 4.0103 11.6945
Ba 2.8486 4.9339 14.1345
O 4.0917 2.3624 4.7115
O 1.2488 4.0103 16.5744
Co 2.8486 1.6446 1.0474
Ba 0.0000 3.2893 7.0799
O -1.2431 2.5715 14.1345
O 1.5998 0.9236 7.1515
Co 0.0000 3.2893 10.4704
O 2.8486 0.2092 4.7115
Ba 0.0000 0.0000 4.7115
O 0.0000 1.8473 11.6945
O 2.8486 3.0867 2.2715
O 2.8486 0.0000 9.4230
O -1.4243 2.4670 9.4230
O 1.4243 2.4670 9.4230
Ba 0.0000 3.2893 2.3430
O 2.8486 3.0867 7.1515
Co 2.8486 1.6447 3.4908
Ba 0.0000 0.0000 9.4230
O 0.0000 4.7247 14.1345
Co 0.0000 3.2892 12.9138
Ba 2.8486 1.6446 11.7660
O -1.2488 4.0103 16.5744
Ba 0.0000 0.0000 0.0000
O 1.2431 2.5715 14.1345
Ba 2.8486 1.6446 16.5029
O 1.6055 2.3624 4.7115
O 1.5998 0.9236 2.2715
Co 2.8486 1.6447 5.9322
Co 0.0000 3.2893 17.7986
! DFT total energy = -5.99 eV/atom
! density = 6.1 g cm⁻³